Computed, not measured: a relaxed Th2Zn2Ga crystal at the PBE-GGA level of DFT.

Fermi-level density of states (states/eV per atom): 0.638
Formation energy (eV/f.u.): -1.73

Lattice parameters (Å, degrees): 5.869 5.869 10.641 115.26 115.26 45.26
Sites, in units of the cell vectors:
Th: 0.016 0.016 0.331
Th: 0.181 0.181 0.089
Th: 0.819 0.819 0.911
Th: 0.984 0.984 0.669
Zn: 0.360 0.360 0.438
Zn: 0.486 0.486 0.119
Zn: 0.514 0.514 0.881
Zn: 0.640 0.640 0.562
Ga: 0.273 0.273 0.659
Ga: 0.727 0.727 0.341

=====

Computed, not measured: a relaxed ThZrGa crystal at the PBE-GGA level of DFT.

Polymorph energy (0 for the lowest one) (meV per atom): 145
Fermi-level density of states (states/eV per atom): 0.798
Formation energy (eV/f.u.): -0.55

Lattice parameters (Å, degrees): 7.695 7.695 7.695 37.20 37.20 37.20
Sites, in units of the cell vectors:
Th: 0.212 0.212 0.212
Th: 0.788 0.788 0.788
Zr: 0.364 0.364 0.364
Zr: 0.636 0.636 0.636
Ga: 0.061 0.061 0.061
Ga: 0.939 0.939 0.939

=====

Computed, not measured: a relaxed ThZrGa2 crystal at the PBE-GGA level of DFT.

Polymorph energy (0 for the lowest one) (meV per atom): 54
Fermi-level density of states (states/eV per atom): 0.631
Formation energy (eV/f.u.): -1.75

Lattice parameters (Å, degrees): 3.272 3.272 8.103 90.00 90.00 90.00
Sites, in units of the cell vectors:
Th: 0.000 0.000 0.000
Zr: 0.000 0.000 0.500
Ga: 0.500 0.500 0.272
Ga: 0.500 0.500 0.728

=====

Computed, not measured: a relaxed ThZrGa2 crystal at the PBE-GGA level of DFT.

Polymorph energy (0 for the lowest one) (meV per atom): 0
Fermi-level density of states (states/eV per atom): 0.951
Formation energy (eV/f.u.): -1.96

Lattice parameters (Å, degrees): 8.199 4.116 10.990 90.00 90.00 90.00
Sites, in units of the cell vectors:
Th: 0.147 0.250 0.144
Th: 0.353 0.750 0.644
Th: 0.647 0.250 0.356
Th: 0.853 0.750 0.856
Zr: 0.019 0.750 0.398
Zr: 0.481 0.250 0.898
Zr: 0.519 0.750 0.102
Zr: 0.981 0.250 0.602
Ga: 0.144 0.250 0.823
Ga: 0.244 0.750 0.944
Ga: 0.256 0.250 0.444
Ga: 0.356 0.750 0.323
Ga: 0.644 0.250 0.677
Ga: 0.744 0.750 0.556
Ga: 0.756 0.250 0.056
Ga: 0.856 0.750 0.177

=====

Computed, not measured: a relaxed ThZrGa crystal at the PBE-GGA level of DFT.

Polymorph energy (0 for the lowest one) (meV per atom): 0
Fermi-level density of states (states/eV per atom): 1.417
Formation energy (eV/f.u.): -0.98

Lattice parameters (Å, degrees): 13.828 4.048 7.872 90.00 90.00 90.00
Sites, in units of the cell vectors:
Th: 0.049 0.000 0.250
Th: 0.250 0.000 0.659
Th: 0.451 0.000 0.250
Th: 0.549 0.000 0.750
Th: 0.750 0.000 0.341
Th: 0.951 0.000 0.750
Zr: 0.115 0.500 0.931
Zr: 0.250 0.500 0.311
Zr: 0.385 0.500 0.931
Zr: 0.615 0.500 0.069
Zr: 0.750 0.500 0.689
Zr: 0.885 0.500 0.069
Ga: 0.092 0.500 0.558
Ga: 0.250 0.000 0.057
Ga: 0.408 0.500 0.558
Ga: 0.592 0.500 0.442
Ga: 0.750 0.000 0.943
Ga: 0.908 0.500 0.442

=====

Computed, not measured: a relaxed ThZrGa crystal at the PBE-GGA level of DFT.

Polymorph energy (0 for the lowest one) (meV per atom): 223
Fermi-level density of states (states/eV per atom): 1.293
Formation energy (eV/f.u.): -0.31

Lattice parameters (Å, degrees): 4.948 4.948 3.504 90.00 90.00 120.00
Sites, in units of the cell vectors:
Th: 0.000 0.000 0.000
Zr: 0.333 0.667 0.503
Ga: 0.667 0.333 0.490

=====

Computed, not measured: a relaxed ThZr2Ga crystal at the PBE-GGA level of DFT.

Polymorph energy (0 for the lowest one) (meV per atom): 152
Fermi-level density of states (states/eV per atom): 0.912
Formation energy (eV/f.u.): -0.26

Lattice parameters (Å, degrees): 9.557 9.557 9.557 20.70 20.70 20.70
Sites, in units of the cell vectors:
Th: 0.000 0.000 0.000
Zr: 0.241 0.241 0.241
Zr: 0.759 0.759 0.759
Ga: 0.500 0.500 0.500

=====

Computed, not measured: a relaxed ThZr2Ga crystal at the PBE-GGA level of DFT.

Polymorph energy (0 for the lowest one) (meV per atom): 0
Fermi-level density of states (states/eV per atom): 1.146
Formation energy (eV/f.u.): -0.86

Lattice parameters (Å, degrees): 4.626 4.626 4.303 90.00 90.00 90.00
Sites, in units of the cell vectors:
Th: 0.000 0.000 0.000
Zr: 0.000 0.500 0.500
Zr: 0.500 0.000 0.500
Ga: 0.500 0.500 0.000

=====

The lowest formation energy belongs to which entry?
number 4